(1)
Density functional theory data (PBE) for a relaxed CaHg5Bi2 crystal.

Geometry as POSCAR:
```
CaHg5Bi2
1.0
-2.901 -3.340 0.269
6.740 -2.375 6.689
-5.811 5.680 7.871
Ca Hg Bi
2 10 4
Direct
0.727 0.453 0.750
0.273 0.547 0.250
0.955 0.910 0.618
0.570 0.141 0.613
0.045 0.090 0.382
0.430 0.859 0.113
0.430 0.859 0.387
0.045 0.090 0.118
0.570 0.141 0.887
0.648 0.295 0.250
0.352 0.705 0.750
0.955 0.910 0.882
0.807 0.614 0.476
0.807 0.614 0.024
0.193 0.386 0.524
0.193 0.386 0.976
```

Calculated values
- DFT formation energy (eV/atom) = -0.167
- space-group type = Cmcm (63)
- D(E_F) (states/eV per atom) = 0.376



(2)
Density functional theory data (PBE) for a relaxed AgHg2Ir crystal.

Geometry as POSCAR:
```
AgHg2Ir
1.0
-5.051 0.509 -1.225
-1.553 -3.662 -3.384
2.584 -0.180 4.535
Ir Hg Ag
1 2 1
Direct
0.500 0.500 0.000
0.000 0.000 0.000
0.250 0.750 0.500
0.750 0.250 0.500
```

Calculated values
- polymorph energy (0 for the lowest one) (meV per atom) = 82
- DFT formation energy (eV/atom) = 0.419
- space-group type = I-4m2 (119)
- D(E_F) (states/eV per atom) = 0.372



(3)
Density functional theory data (PBE) for a relaxed SrAcMnSe4 crystal.

Geometry as POSCAR:
```
SrAcMnSe4
1.0
-1.019 -4.822 5.230
2.395 -4.676 -3.845
8.050 3.380 0.903
Se Ac Sr Mn
8 2 2 2
Direct
0.994 0.008 0.237
0.585 0.250 0.404
0.006 0.508 0.763
0.581 0.250 0.887
0.006 0.992 0.763
0.994 0.492 0.237
0.419 0.750 0.113
0.415 0.750 0.596
0.730 0.750 0.931
0.270 0.250 0.069
0.239 0.250 0.559
0.761 0.750 0.441
0.758 0.250 0.688
0.242 0.750 0.312
```

Calculated values
- space-group type = P2_1/m (11)
- D(E_F) (states/eV per atom) = 0.310
- formation energy from raw total energies (eV per atom) = -1.429



(4)
Density functional theory data (PBE) for a relaxed Er2AlCo crystal.

Geometry as POSCAR:
```
Er2AlCo
1.0
3.386 0.000 0.000
0.000 3.386 0.000
0.000 0.000 7.195
Er Al Co
2 1 1
Direct
0.000 0.000 0.776
0.000 0.000 0.224
0.500 0.500 0.500
0.500 0.500 0.000
```

Calculated values
- DFT formation energy (eV/atom) = -0.314
- space-group type = P4/mmm (123)
- D(E_F) (states/eV per atom) = 0.394



(5)
Density functional theory data (PBE) for a relaxed CaMgCd2Hg2 crystal.

Geometry as POSCAR:
```
CaMgCd2Hg2
1.0
5.422 0.000 0.000
2.711 4.695 0.000
2.711 1.565 6.085
Cd Mg Hg Ca
2 1 2 1
Direct
0.661 0.661 0.018
0.339 0.339 0.982
0.500 0.500 0.500
0.822 0.822 0.533
0.178 0.178 0.467
0.000 0.000 0.000
```

Calculated values
- DFT formation energy (eV/atom) = -0.139
- space-group type = R-3m (166)
- D(E_F) (states/eV per atom) = 0.503



(6)
Density functional theory data (PBE) for a relaxed Er4PbS3 crystal.

Geometry as POSCAR:
```
Er4PbS3
1.0
-1.659 -3.073 -1.812
0.715 -3.164 4.712
-7.350 2.372 2.707
Er S Pb
4 3 1
Direct
0.500 0.000 0.726
0.500 0.000 0.274
0.000 0.500 0.000
0.000 0.500 0.500
0.500 0.500 0.742
0.000 0.000 0.500
0.500 0.500 0.258
0.000 0.000 0.000
```

Calculated values
- space-group type = Pmmm (47)
- D(E_F) (states/eV per atom) = 0.465
- formation energy from raw total energies (eV per atom) = -1.502



(7)
Density functional theory data (PBE) for a relaxed CaZn9Cd2 crystal.

Geometry as POSCAR:
```
CaZn9Cd2
1.0
-4.374 1.536 -2.605
-1.470 -2.520 -4.446
-6.577 -5.726 2.240
Zn Ca Cd
9 1 2
Direct
0.667 0.667 0.000
0.413 0.919 0.255
0.587 0.587 0.745
0.081 0.587 0.745
0.413 0.413 0.255
0.587 0.081 0.745
0.500 0.500 0.500
0.333 0.333 0.000
0.919 0.413 0.255
0.000 0.000 0.000
0.862 0.862 0.413
0.138 0.138 0.587
```

Calculated values
- DFT formation energy (eV/atom) = -0.109
- space-group type = R-3m (166)
- D(E_F) (states/eV per atom) = 0.238



(8)
Density functional theory data (PBE) for a relaxed Ho2Fe2C3 crystal.

Geometry as POSCAR:
```
Ho2Fe2C3
1.0
-2.918 1.025 -1.462
-2.479 -4.612 1.714
0.795 2.757 4.348
C Ho Fe
3 2 2
Direct
0.293 0.730 0.585
0.000 0.500 0.000
0.707 0.270 0.415
0.392 0.186 0.785
0.608 0.814 0.215
0.841 0.603 0.682
0.159 0.397 0.318
```

Calculated values
- polymorph energy (0 for the lowest one) (meV per atom) = 0
- DFT formation energy (eV/atom) = -0.271
- space-group type = C2/m (12)
- D(E_F) (states/eV per atom) = 0.671



(9)
Density functional theory data (PBE) for a relaxed In2HS crystal.

Geometry as POSCAR:
```
In2HS
1.0
0.000 3.407 3.407
3.407 0.000 3.407
3.407 3.407 0.000
H In S
1 2 1
Direct
0.000 0.000 0.000
0.250 0.250 0.250
0.750 0.750 0.750
0.500 0.500 0.500
```

Calculated values
- polymorph energy (0 for the lowest one) (meV per atom) = 194
- space-group type = Fm-3m (225)
- D(E_F) (states/eV per atom) = 0.628



(10)
Density functional theory data (PBE) for a relaxed PrNi8Ge2 crystal.

Geometry as POSCAR:
```
PrNi8Ge2
1.0
4.823 0.000 0.000
0.000 4.823 0.000
0.000 0.000 7.954
Ni Pr Ge
8 1 2
Direct
0.246 0.246 0.209
0.246 0.246 0.791
0.754 0.246 0.209
0.754 0.754 0.791
0.246 0.754 0.791
0.246 0.754 0.209
0.754 0.246 0.791
0.754 0.754 0.209
0.500 0.500 0.500
0.000 0.500 0.000
0.500 0.000 0.000
```

Calculated values
- DFT formation energy (eV/atom) = 0.185
- space-group type = P4/mmm (123)
- D(E_F) (states/eV per atom) = 0.986



(11)
Density functional theory data (PBE) for a relaxed PrSm6Er crystal.

Geometry as POSCAR:
```
PrSm6Er
1.0
-5.152 2.596 1.055
-2.973 -0.357 -5.043
-5.444 -7.240 1.560
Pr Sm Er
1 6 1
Direct
0.500 0.500 0.500
0.373 0.373 0.922
0.050 0.530 0.295
0.470 0.950 0.705
0.627 0.627 0.078
0.950 0.470 0.705
0.530 0.050 0.295
0.000 0.000 0.000
```

Calculated values
- polymorph energy (0 for the lowest one) (meV per atom) = 351
- DFT formation energy (eV/atom) = 0.371
- space-group type = C2/m (12)
- D(E_F) (states/eV per atom) = 1.873



(12)
Density functional theory data (PBE) for a relaxed PmDyTlAu crystal.

Geometry as POSCAR:
```
PmDyTlAu
1.0
-1.478 -2.598 -4.387
-0.223 -5.303 0.004
-4.701 -2.459 -0.172
Pm Tl Au Dy
1 1 1 1
Direct
0.250 0.250 0.250
0.500 0.500 0.500
0.000 0.000 0.000
0.750 0.750 0.750
```

Calculated values
- polymorph energy (0 for the lowest one) (meV per atom) = 57
- DFT formation energy (eV/atom) = -0.544
- space-group type = F-43m (216)
- D(E_F) (states/eV per atom) = 0.989



(13)
Density functional theory data (PBE) for a relaxed AgAsHSe2 crystal.

Geometry as POSCAR:
```
AgAsHSe2
1.0
5.131 0.000 0.000
0.000 5.131 0.000
0.000 0.000 3.326
Ag As H Se
1 1 1 2
Direct
0.500 0.500 0.500
0.000 0.000 0.500
0.000 0.000 0.000
0.500 0.000 0.000
0.000 0.500 0.000
```

Calculated values
- polymorph energy (0 for the lowest one) (meV per atom) = 0
- space-group type = P4/mmm (123)
- D(E_F) (states/eV per atom) = 0.824



(14)
Density functional theory data (PBE) for a relaxed LaHf2TcIr crystal.

Geometry as POSCAR:
```
LaHf2TcIr
1.0
5.003 0.000 0.000
0.000 5.458 0.000
0.000 0.000 5.003
Tc Hf Ir La
1 2 1 1
Direct
0.500 0.500 0.500
0.000 0.000 0.500
0.500 0.000 0.000
0.000 0.000 0.000
0.000 0.500 0.000
```

Calculated values
- DFT formation energy (eV/atom) = 0.638
- space-group type = P4/mmm (123)
- D(E_F) (states/eV per atom) = 1.070



(15)
Density functional theory data (PBE) for a relaxed Ba2DyPaN4 crystal.

Geometry as POSCAR:
```
Ba2DyPaN4
1.0
3.689 0.000 0.000
0.000 6.258 0.095
0.000 -2.198 6.370
Dy N Ba Pa
1 4 2 1
Direct
0.500 0.500 0.000
0.500 0.782 0.812
0.500 0.218 0.188
0.000 0.249 0.812
0.000 0.751 0.188
0.000 0.500 0.500
0.500 0.000 0.500
0.000 0.000 0.000
```

Calculated values
- space-group type = P2/m (10)
- D(E_F) (states/eV per atom) = 0.071
- formation energy from raw total energies (eV per atom) = -1.170



(16)
Density functional theory data (PBE) for a relaxed Pm2SmSc8 crystal.

Geometry as POSCAR:
```
Pm2SmSc8
1.0
5.250 1.723 0.000
2.665 8.321 0.000
1.333 4.160 7.783
Sm Sc Pm
1 8 2
Direct
0.500 0.000 0.000
0.500 0.205 0.589
0.500 0.795 0.411
0.806 0.095 0.242
0.194 0.663 0.242
0.194 0.905 0.758
0.283 0.456 0.000
0.717 0.544 0.000
0.806 0.337 0.758
0.000 0.307 0.385
0.000 0.693 0.615
```

Calculated values
- DFT formation energy (eV/atom) = 0.155
- space-group type = C2/m (12)
- D(E_F) (states/eV per atom) = 1.514



(17)
Density functional theory data (PBE) for a relaxed Zn4RhAu2 crystal.

Geometry as POSCAR:
```
Zn4RhAu2
1.0
4.129 0.000 -1.316
-0.420 4.108 -1.316
-0.059 -0.066 6.949
Rh Zn Au
1 4 2
Direct
0.000 0.000 0.000
0.891 0.391 0.782
0.109 0.609 0.218
0.609 0.109 0.218
0.391 0.891 0.782
0.759 0.759 0.518
0.241 0.241 0.482
```

Calculated values
- DFT formation energy (eV/atom) = -0.205
- space-group type = I4/mmm (139)
- D(E_F) (states/eV per atom) = 0.486



(18)
Density functional theory data (PBE) for a relaxed Pr5Sm4Er crystal.

Geometry as POSCAR:
```
Pr5Sm4Er
1.0
3.585 0.003 -0.727
-0.412 10.148 -2.068
0.094 -0.678 9.650
Er Sm Pr
1 4 5
Direct
0.500 0.000 0.000
0.300 0.900 0.601
0.099 0.295 0.199
0.901 0.705 0.801
0.700 0.100 0.399
0.901 0.196 0.802
0.300 0.400 0.600
0.500 0.500 0.000
0.099 0.804 0.198
0.700 0.600 0.400
```

Calculated values
- polymorph energy (0 for the lowest one) (meV per atom) = 0
- DFT formation energy (eV/atom) = 0.016
- space-group type = P-1 (2)
- D(E_F) (states/eV per atom) = 1.494



(19)
Density functional theory data (PBE) for a relaxed CaHgPb crystal.

Geometry as POSCAR:
```
CaHgPb
1.0
3.869 0.000 0.132
0.000 5.043 0.000
0.293 0.000 9.027
Ca Hg Pb
2 2 2
Direct
0.276 0.716 0.100
0.347 0.216 0.693
0.820 0.216 0.986
0.803 0.717 0.807
0.006 0.716 0.469
0.618 0.216 0.324
```

Calculated values
- DFT formation energy (eV/atom) = -0.392
- space-group type = P2_1/m (11)
- D(E_F) (states/eV per atom) = 0.516



(20)
Density functional theory data (PBE) for a relaxed HRhOF2 crystal.

Geometry as POSCAR:
```
HRhOF2
1.0
-0.348 1.660 -2.535
1.571 -2.083 -1.580
-4.178 -2.397 -0.995
F H O Rh
2 1 1 1
Direct
0.500 0.000 0.000
0.000 0.500 0.000
0.000 0.000 0.000
0.000 0.000 0.500
0.500 0.500 0.500
```

Calculated values
- polymorph energy (0 for the lowest one) (meV per atom) = 222
- space-group type = P4/mmm (123)
- D(E_F) (states/eV per atom) = 0.711